## one
NbCdSb2Te after structural relaxation, computed with GGA-PBE.

The value obtained for the density of states at the Fermi level is 2.8 states/eV/f.u. Its density is 6.040 Mg/m³.

Unit cell a=5.429 b=5.429 c=5.378 alpha=90.00 beta=90.00 gamma=90.00
Fractional coordinates of all 5 atoms:
Nb: 0.000 0.000 0.000
Cd: 0.500 0.500 0.500
Sb: 0.000 0.500 0.000
Sb: 0.500 0.000 0.000
Te: 0.000 0.000 0.500



## two
NbCdSb2Te after structural relaxation, computed with GGA-PBE.

The value obtained for the density of states at the Fermi level is 7.8 states/eV/f.u. Its density is 6.101 Mg/m³.

Unit cell a=5.353 b=5.353 c=5.475 alpha=90.00 beta=90.00 gamma=90.00
Fractional coordinates of all 5 atoms:
Nb: 0.000 0.000 0.000
Cd: 0.500 0.500 0.500
Sb: 0.000 0.500 0.500
Sb: 0.500 0.000 0.500
Te: 0.500 0.500 0.000



Stability summary - winner: one; margin: 1058 meV/atom.



## one
Sc3NbCd after structural relaxation, computed with GGA-PBE.

The value obtained for the density of states at the Fermi level is 9.6 states/eV/f.u. Its density is 4.030 Mg/m³.

Unit cell a=5.194 b=5.194 c=5.194 alpha=90.00 beta=90.00 gamma=90.00
Fractional coordinates of all 5 atoms:
Sc: 0.000 0.000 0.500
Sc: 0.000 0.500 0.000
Sc: 0.500 0.000 0.000
Nb: 0.500 0.500 0.500
Cd: 0.000 0.000 0.000



## two
Sc3NbCd after structural relaxation, computed with GGA-PBE.

The value obtained for the density of states at the Fermi level is 5.9 states/eV/f.u. Its density is 4.216 Mg/m³.

Unit cell a=5.117 b=5.117 c=5.117 alpha=90.00 beta=90.00 gamma=90.00
Fractional coordinates of all 5 atoms:
Sc: 0.000 0.000 0.500
Sc: 0.000 0.500 0.000
Sc: 0.500 0.000 0.000
Nb: 0.000 0.000 0.000
Cd: 0.500 0.500 0.500



Stability summary - winner: two; margin: 460 meV/atom.



## one
ScNbCd2W after structural relaxation, computed with GGA-PBE.

The value obtained for the density of states at the Fermi level is 6.6 states/eV/f.u. Its density is 7.821 Mg/m³.

Unit cell a=5.031 b=5.031 c=4.585 alpha=90.00 beta=90.00 gamma=90.00
Fractional coordinates of all 5 atoms:
Sc: 0.000 0.000 0.000
Nb: 0.000 0.000 0.500
Cd: 0.000 0.500 0.000
Cd: 0.500 0.000 0.000
W: 0.500 0.500 0.500



## two
ScNbCd2W after structural relaxation, computed with GGA-PBE.

The value obtained for the density of states at the Fermi level is 8.6 states/eV/f.u. Its density is 7.364 Mg/m³.

Unit cell a=5.200 b=5.200 c=4.558 alpha=90.00 beta=90.00 gamma=90.00
Fractional coordinates of all 5 atoms:
Sc: 0.000 0.000 0.000
Nb: 0.000 0.000 0.500
Cd: 0.000 0.500 0.500
Cd: 0.500 0.000 0.500
W: 0.500 0.500 0.000



Stability summary - winner: two; margin: 30 meV/atom.



## one
Nb3CdSe after structural relaxation, computed with GGA-PBE.

The value obtained for the density of states at the Fermi level is 6.9 states/eV/f.u. Its density is 7.136 Mg/m³.

Unit cell a=4.783 b=4.783 c=4.783 alpha=90.00 beta=90.00 gamma=90.00
Fractional coordinates of all 5 atoms:
Nb: 0.000 0.000 0.500
Nb: 0.000 0.500 0.000
Nb: 0.500 0.000 0.000
Cd: 0.500 0.500 0.500
Se: 0.000 0.000 0.000



## two
Nb3CdSe after structural relaxation, computed with GGA-PBE.

The value obtained for the density of states at the Fermi level is 8.6 states/eV/f.u. Its density is 6.163 Mg/m³.

Unit cell a=5.022 b=5.022 c=5.022 alpha=90.00 beta=90.00 gamma=90.00
Fractional coordinates of all 5 atoms:
Nb: 0.000 0.000 0.500
Nb: 0.000 0.500 0.000
Nb: 0.500 0.000 0.000
Cd: 0.000 0.000 0.000
Se: 0.500 0.500 0.500



Stability summary - winner: one; margin: 1297 meV/atom.



## one
NbCd3Se after structural relaxation, computed with GGA-PBE.

The value obtained for the density of states at the Fermi level is 3.3 states/eV/f.u. Its density is 5.823 Mg/m³.

Unit cell a=5.256 b=5.256 c=5.256 alpha=90.00 beta=90.00 gamma=90.00
Fractional coordinates of all 5 atoms:
Nb: 0.000 0.000 0.000
Cd: 0.000 0.500 0.500
Cd: 0.500 0.000 0.500
Cd: 0.500 0.500 0.000
Se: 0.500 0.500 0.500



## two
NbCd3Se after structural relaxation, computed with GGA-PBE.

The value obtained for the density of states at the Fermi level is 8.5 states/eV/f.u. Its density is 4.941 Mg/m³.

Unit cell a=5.552 b=5.552 c=5.552 alpha=90.00 beta=90.00 gamma=90.00
Fractional coordinates of all 5 atoms:
Nb: 0.000 0.000 0.000
Cd: 0.000 0.000 0.500
Cd: 0.000 0.500 0.000
Cd: 0.500 0.000 0.000
Se: 0.500 0.500 0.500



Stability summary - winner: one; margin: 72 meV/atom.



## one
NbCd2Si2 after structural relaxation, computed with GGA-PBE.

The value obtained for the density of states at the Fermi level is 3.4 states/eV/f.u. Its density is 6.690 Mg/m³.

Unit cell a=6.806 b=6.806 c=4.007 alpha=90.00 beta=90.00 gamma=90.00
Fractional coordinates of all 10 atoms:
Nb: 0.000 0.000 0.000
Nb: 0.500 0.500 0.000
Cd: 0.178 0.322 0.500
Cd: 0.322 0.822 0.500
Cd: 0.678 0.178 0.500
Cd: 0.822 0.678 0.500
Si: 0.129 0.629 0.000
Si: 0.371 0.129 0.000
Si: 0.629 0.871 0.000
Si: 0.871 0.371 0.000



## two
NbCd2Si2 after structural relaxation, computed with GGA-PBE.

The value obtained for the density of states at the Fermi level is 4.0 states/eV/f.u. Its density is 6.372 Mg/m³.

Unit cell a=7.543 b=7.543 c=7.543 alpha=151.51 beta=151.51 gamma=40.73
Fractional coordinates of all 5 atoms:
Nb: 0.000 0.000 0.000
Cd: 0.250 0.750 0.500
Cd: 0.750 0.250 0.500
Si: 0.416 0.416 0.000
Si: 0.584 0.584 0.000



Stability summary - winner: one; margin: 247 meV/atom.



## one
NbCdSn3 after structural relaxation, computed with GGA-PBE.

The value obtained for the density of states at the Fermi level is 2.9 states/eV/f.u. Its density is 5.853 Mg/m³.

Unit cell a=5.421 b=5.421 c=5.421 alpha=90.00 beta=90.00 gamma=90.00
Fractional coordinates of all 5 atoms:
Nb: 0.000 0.000 0.000
Cd: 0.500 0.500 0.500
Sn: 0.000 0.000 0.500
Sn: 0.000 0.500 0.000
Sn: 0.500 0.000 0.000



## two
NbCdSn3 after structural relaxation, computed with GGA-PBE.

The value obtained for the density of states at the Fermi level is 5.2 states/eV/f.u. Its density is 5.918 Mg/m³.

Unit cell a=5.401 b=5.401 c=5.401 alpha=90.00 beta=90.00 gamma=90.00
Fractional coordinates of all 5 atoms:
Nb: 0.000 0.000 0.000
Cd: 0.500 0.500 0.500
Sn: 0.000 0.500 0.500
Sn: 0.500 0.000 0.500
Sn: 0.500 0.500 0.000



Stability summary - winner: one; margin: 880 meV/atom.



## one
Nb3CdSn after structural relaxation, computed with GGA-PBE.

The value obtained for the density of states at the Fermi level is 8.3 states/eV/f.u. Its density is 6.517 Mg/m³.

Unit cell a=5.065 b=5.065 c=5.065 alpha=90.00 beta=90.00 gamma=90.00
Fractional coordinates of all 5 atoms:
Nb: 0.000 0.000 0.500
Nb: 0.000 0.500 0.000
Nb: 0.500 0.000 0.000
Cd: 0.500 0.500 0.500
Sn: 0.000 0.000 0.000



## two
Nb3CdSn after structural relaxation, computed with GGA-PBE.

The value obtained for the density of states at the Fermi level is 12.0 states/eV/f.u. Its density is 6.810 Mg/m³.

Unit cell a=4.991 b=4.991 c=4.991 alpha=90.00 beta=90.00 gamma=90.00
Fractional coordinates of all 5 atoms:
Nb: 0.000 0.000 0.500
Nb: 0.000 0.500 0.000
Nb: 0.500 0.000 0.000
Cd: 0.000 0.000 0.000
Sn: 0.500 0.500 0.500



Stability summary - winner: one; margin: 108 meV/atom.



## one
Ta2NbCd2 after structural relaxation, computed with GGA-PBE.

The value obtained for the density of states at the Fermi level is 5.0 states/eV/f.u. Its density is 11.085 Mg/m³.

Unit cell a=7.356 b=7.356 c=7.356 alpha=149.58 beta=149.58 gamma=43.56
Fractional coordinates of all 5 atoms:
Ta: 0.250 0.750 0.500
Ta: 0.750 0.250 0.500
Nb: 0.000 0.000 0.000
Cd: 0.405 0.405 0.000
Cd: 0.595 0.595 0.000



## two
Ta2NbCd2 after structural relaxation, computed with GGA-PBE.

The value obtained for the density of states at the Fermi level is 4.2 states/eV/f.u. Its density is 11.575 Mg/m³.

Unit cell a=7.725 b=7.725 c=3.268 alpha=90.00 beta=90.00 gamma=90.00
Fractional coordinates of all 10 atoms:
Ta: 0.178 0.322 0.000
Ta: 0.322 0.822 0.000
Ta: 0.678 0.178 0.000
Ta: 0.822 0.678 0.000
Nb: 0.000 0.000 0.500
Nb: 0.500 0.500 0.500
Cd: 0.124 0.624 0.500
Cd: 0.376 0.124 0.500
Cd: 0.624 0.876 0.500
Cd: 0.876 0.376 0.500



Stability summary - winner: two; margin: 32 meV/atom.



## one
TaNb3Cd after structural relaxation, computed with GGA-PBE.

The value obtained for the density of states at the Fermi level is 5.9 states/eV/f.u. Its density is 7.976 Mg/m³.

Unit cell a=4.920 b=4.920 c=4.920 alpha=90.00 beta=90.00 gamma=90.00
Fractional coordinates of all 5 atoms:
Ta: 0.000 0.000 0.000
Nb: 0.000 0.500 0.500
Nb: 0.500 0.000 0.500
Nb: 0.500 0.500 0.000
Cd: 0.500 0.500 0.500



## two
TaNb3Cd after structural relaxation, computed with GGA-PBE.

The value obtained for the density of states at the Fermi level is 5.4 states/eV/f.u. Its density is 7.966 Mg/m³.

Unit cell a=4.922 b=4.922 c=4.922 alpha=90.00 beta=90.00 gamma=90.00
Fractional coordinates of all 5 atoms:
Ta: 0.000 0.000 0.000
Nb: 0.000 0.000 0.500
Nb: 0.000 0.500 0.000
Nb: 0.500 0.000 0.000
Cd: 0.500 0.500 0.500



Stability summary - winner: two; margin: 785 meV/atom.



## one
TaTiNbCd after structural relaxation, computed with GGA-PBE.

The value obtained for the density of states at the Fermi level is 2.8 states/eV/f.u. Its density is 8.630 Mg/m³.

Unit cell a=8.014 b=8.014 c=8.014 alpha=156.23 beta=156.23 gamma=33.86
Fractional coordinates of all 4 atoms:
Ta: 0.000 0.000 0.000
Ti: 0.192 0.192 0.000
Nb: 0.596 0.596 0.000
Cd: 0.812 0.812 0.000



## two
TaTiNbCd after structural relaxation, computed with GGA-PBE.

The value obtained for the density of states at the Fermi level is 6.1 states/eV/f.u. Its density is 9.799 Mg/m³.

Unit cell a=4.703 b=4.703 c=4.703 alpha=60.00 beta=60.00 gamma=60.00
Fractional coordinates of all 4 atoms:
Ta: 0.000 0.000 0.000
Ti: 0.250 0.250 0.250
Nb: 0.750 0.750 0.750
Cd: 0.500 0.500 0.500



Stability summary - winner: two; margin: 136 meV/atom.



## one
Nb2CdTc2 after structural relaxation, computed with GGA-PBE.

The value obtained for the density of states at the Fermi level is 3.9 states/eV/f.u. Its density is 9.112 Mg/m³.

Unit cell a=7.730 b=7.730 c=3.015 alpha=90.00 beta=90.00 gamma=90.00
Fractional coordinates of all 10 atoms:
Nb: 0.141 0.359 0.000
Nb: 0.359 0.859 0.000
Nb: 0.641 0.141 0.000
Nb: 0.859 0.641 0.000
Cd: 0.000 0.000 0.000
Cd: 0.500 0.500 0.000
Tc: 0.156 0.656 0.500
Tc: 0.344 0.156 0.500
Tc: 0.656 0.844 0.500
Tc: 0.844 0.344 0.500



## two
Nb2CdTc2 after structural relaxation, computed with GGA-PBE.

The value obtained for the density of states at the Fermi level is 4.8 states/eV/f.u. Its density is 9.186 Mg/m³.

Unit cell a=7.549 b=7.549 c=3.136 alpha=90.00 beta=90.00 gamma=90.00
Fractional coordinates of all 10 atoms:
Nb: 0.153 0.347 0.000
Nb: 0.347 0.847 0.000
Nb: 0.653 0.153 0.000
Nb: 0.847 0.653 0.000
Cd: 0.000 0.000 0.500
Cd: 0.500 0.500 0.500
Tc: 0.142 0.642 0.500
Tc: 0.358 0.142 0.500
Tc: 0.642 0.858 0.500
Tc: 0.858 0.358 0.500



Stability summary - winner: two; margin: 101 meV/atom.



## one
NbCdTc3 after structural relaxation, computed with GGA-PBE.

The value obtained for the density of states at the Fermi level is 6.0 states/eV/f.u. Its density is 7.692 Mg/m³.

Unit cell a=4.759 b=4.759 c=4.759 alpha=90.00 beta=90.00 gamma=90.00
Fractional coordinates of all 5 atoms:
Nb: 0.000 0.000 0.000
Cd: 0.500 0.500 0.500
Tc: 0.000 0.000 0.500
Tc: 0.000 0.500 0.000
Tc: 0.500 0.000 0.000



## two
NbCdTc3 after structural relaxation, computed with GGA-PBE.

The value obtained for the density of states at the Fermi level is 10.4 states/eV/f.u. Its density is 7.858 Mg/m³.

Unit cell a=4.725 b=4.725 c=4.725 alpha=90.00 beta=90.00 gamma=90.00
Fractional coordinates of all 5 atoms:
Nb: 0.000 0.000 0.000
Cd: 0.500 0.500 0.500
Tc: 0.000 0.500 0.500
Tc: 0.500 0.000 0.500
Tc: 0.500 0.500 0.000



Stability summary - winner: one; margin: 858 meV/atom.



## one
NbCd3Te after structural relaxation, computed with GGA-PBE.

The value obtained for the density of states at the Fermi level is 6.0 states/eV/f.u. Its density is 5.636 Mg/m³.

Unit cell a=5.477 b=5.477 c=5.477 alpha=90.00 beta=90.00 gamma=90.00
Fractional coordinates of all 5 atoms:
Nb: 0.000 0.000 0.000
Cd: 0.000 0.000 0.500
Cd: 0.000 0.500 0.000
Cd: 0.500 0.000 0.000
Te: 0.500 0.500 0.500



## two
NbCd3Te after structural relaxation, computed with GGA-PBE.

The value obtained for the density of states at the Fermi level is 4.0 states/eV/f.u. Its density is 5.419 Mg/m³.

Unit cell a=5.549 b=5.549 c=5.549 alpha=90.00 beta=90.00 gamma=90.00
Fractional coordinates of all 5 atoms:
Nb: 0.000 0.000 0.000
Cd: 0.000 0.500 0.500
Cd: 0.500 0.000 0.500
Cd: 0.500 0.500 0.000
Te: 0.500 0.500 0.500



Stability summary - winner: one; margin: 256 meV/atom.